Entry 1:
This record from Alexandria via LeMat-Bulk describes a geometry-optimized Pm2ScSi3Pd4 structure. The functional is GGA-PBE.

Results
- SG: No. 115
- E_form (uncorrected): -900 meV per atom

Cell: 4.257 4.257 10.434 Å, 90.00 90.00 90.00°
Sites, in units of the cell vectors:
Pm 0.500 0.000 0.234
Pm 0.000 0.500 0.766
Sc 0.500 0.500 0.500
Si 0.000 0.000 0.500
Si 0.500 0.000 0.877
Si 0.000 0.500 0.123
Pd 0.500 0.500 0.000
Pd 0.000 0.000 0.000
Pd 0.500 0.000 0.647
Pd 0.000 0.500 0.353

---

Entry 2:
This record from Alexandria via LeMat-Bulk describes a geometry-optimized PmScSiPd structure. The functional is GGA-PBE.

Results
- SG: No. 216
- E_form (uncorrected): -656 meV per atom

Cell: 4.908 4.908 4.908 Å, 60.00 60.00 60.00°
Sites, in units of the cell vectors:
Sc 0.500 0.500 0.500
Si 0.750 0.750 0.750
Pd 0.250 0.250 0.250
Pm 0.000 0.000 0.000

---

Entry 3:
This record from Alexandria via LeMat-Bulk describes a geometry-optimized PmSmScPd structure. The functional is GGA-PBE.

Results
- Formation enthalpy at 0 K: -0.1288 eV per atom
- SG: No. 216

Cell: 5.254 5.254 5.254 Å, 60.00 60.00 60.00°
Sites, in units of the cell vectors:
Sc 0.000 0.000 0.000
Pd 0.500 0.500 0.500
Sm 0.250 0.250 0.250
Pm 0.750 0.750 0.750

---

Entry 4:
This record from Alexandria via LeMat-Bulk describes a geometry-optimized PmScTcPd structure. The functional is GGA-PBE.

Results
- Formation enthalpy at 0 K: -0.3202 eV per atom
- SG: No. 216

Cell: 4.813 4.813 4.813 Å, 60.00 60.00 60.00°
Sites, in units of the cell vectors:
Sc 0.500 0.500 0.500
Tc 0.250 0.250 0.250
Pd 0.750 0.750 0.750
Pm 0.000 0.000 0.000

---

Entry 5:
This record from Alexandria via LeMat-Bulk describes a geometry-optimized PmScTlPd structure. The functional is GGA-PBE.

Results
- Formation enthalpy at 0 K: -0.4762 eV per atom
- SG: No. 216

Cell: 5.116 5.116 5.116 Å, 60.00 60.00 60.00°
Sites, in units of the cell vectors:
Sc 0.500 0.500 0.500
Tl 0.250 0.250 0.250
Pd 0.750 0.750 0.750
Pm 0.000 0.000 0.000

---

Entry 6:
This record from Alexandria via LeMat-Bulk describes a geometry-optimized PmSc2ZnPd4 structure. The functional is GGA-PBE.

Results
- Formation enthalpy at 0 K: -0.7663 eV per atom
- SG: No. 166

Cell: 4.568 4.568 8.823 Å, 75.00 75.00 60.00°
Sites, in units of the cell vectors:
Pm 0.000 0.000 0.000
Sc 0.763 0.763 0.712
Sc 0.237 0.237 0.288
Zn 0.500 0.500 0.500
Pd 0.396 0.396 0.811
Pd 0.871 0.871 0.386
Pd 0.129 0.129 0.614
Pd 0.604 0.604 0.189

---

Entry 7:
This record from Alexandria via LeMat-Bulk describes a geometry-optimized Pm2ScZnPd6 structure. The functional is GGA-PBE.

Results
- Formation enthalpy at 0 K: -0.6245 eV per atom
- SG: No. 2

Cell: 5.643 9.024 6.685 Å, 45.67 64.88 89.98°
Sites, in units of the cell vectors:
Pm 0.758 0.259 0.485
Pm 0.242 0.741 0.515
Sc 0.000 0.000 0.000
Zn 0.500 0.500 0.000
Pd 0.250 0.066 0.500
Pd 0.685 0.691 0.116
Pd 0.197 0.691 0.117
Pd 0.803 0.309 0.883
Pd 0.315 0.309 0.884
Pd 0.750 0.934 0.500

---

Entry 8:
This record from Alexandria via LeMat-Bulk describes a geometry-optimized PmPdSe2 structure. The functional is GGA-PBE.

Results
- ΔE to the lowest computed polymorph: 609.5 meV per atom
- SG: No. 166
- E_form (uncorrected): -378 meV per atom

Cell: 3.819 3.819 8.708 Å, 77.33 77.33 60.00°
Sites, in units of the cell vectors:
Se 0.114 0.114 0.659
Se 0.886 0.886 0.341
Pd 0.500 0.500 0.500
Pm 0.000 0.000 0.000

---

Entry 9:
This record from Alexandria via LeMat-Bulk describes a geometry-optimized Pm3PdSe2 structure. The functional is GGA-PBE.

Results
- SG: No. 194
- E_form (uncorrected): -1417 meV per atom

Cell: 4.068 4.068 22.187 Å, 90.00 90.00 120.00°
Sites, in units of the cell vectors:
Pm 0.000 0.000 0.000
Pm 0.333 0.667 0.166
Pm 0.333 0.667 0.334
Pm 0.000 0.000 0.500
Pm 0.667 0.333 0.666
Pm 0.667 0.333 0.834
Pd 0.000 0.000 0.250
Pd 0.000 0.000 0.750
Se 0.333 0.667 0.919
Se 0.667 0.333 0.081
Se 0.667 0.333 0.419
Se 0.333 0.667 0.581

---

Entry 10:
This record from Alexandria via LeMat-Bulk describes a geometry-optimized Pm3Pd5Se12 structure. The functional is GGA-PBE.

Results
- SG: No. 230
- E_form (uncorrected): -728 meV per atom

Cell: 13.756 13.756 13.756 Å, 109.47 109.47 109.47°
Sites, in units of the cell vectors:
Pd 0.125 0.375 0.250
Pd 0.000 0.500 0.000
Pd 0.000 0.000 0.000
Pd 0.375 0.250 0.125
Pd 0.500 0.000 0.500
Pd 0.500 0.500 0.000
Pd 0.125 0.750 0.375
Pd 0.750 0.125 0.875
Pd 0.750 0.625 0.375
Pd 0.375 0.125 0.750
Pd 0.625 0.875 0.250
Pd 0.500 0.500 0.500
Pd 0.500 0.000 0.000
Pd 0.000 0.000 0.500
Pd 0.250 0.375 0.625
Pd 0.250 0.875 0.125
Pd 0.000 0.500 0.500
Pd 0.875 0.250 0.625
Pd 0.625 0.750 0.875
Pd 0.875 0.625 0.750
Se 0.706 0.124 0.035
Se 0.329 0.535 0.411
Se 0.965 0.376 0.294
Se 0.535 0.206 0.124
Se 0.582 0.706 0.671
Se 0.965 0.589 0.171
Se 0.329 0.794 0.418
Se 0.089 0.918 0.124
Se 0.589 0.965 0.671
Se 0.706 0.582 0.171
Se 0.794 0.465 0.376
Se 0.829 0.911 0.035
Se 0.124 0.706 0.535
Se 0.376 0.411 0.082
Se 0.082 0.911 0.376
Se 0.418 0.124 0.589
Se 0.082 0.171 0.206
Se 0.465 0.671 0.089
Se 0.829 0.918 0.294
Se 0.124 0.418 0.089
Se 0.376 0.965 0.794
Se 0.589 0.624 0.418
Se 0.911 0.829 0.535
Se 0.794 0.329 0.918
Se 0.411 0.376 0.582
Se 0.089 0.171 0.465
Se 0.206 0.671 0.082
Se 0.171 0.082 0.706
Se 0.624 0.035 0.206
Se 0.876 0.582 0.911
Se 0.535 0.329 0.911
Se 0.582 0.876 0.411
Se 0.918 0.829 0.794
Se 0.918 0.089 0.624
Se 0.876 0.294 0.465
Se 0.171 0.089 0.965
Se 0.624 0.589 0.918
Se 0.411 0.035 0.329
Se 0.294 0.418 0.829
Se 0.206 0.535 0.624
Se 0.911 0.082 0.876
Se 0.671 0.206 0.582
Se 0.465 0.794 0.876
Se 0.035 0.411 0.829
Se 0.418 0.294 0.329
Se 0.035 0.624 0.706
Se 0.671 0.465 0.589
Se 0.294 0.876 0.965
Pm 0.750 0.375 0.125
Pm 0.875 0.750 0.125
Pm 0.375 0.750 0.625
Pm 0.250 0.125 0.375
Pm 0.875 0.125 0.250
Pm 0.375 0.625 0.250
Pm 0.625 0.375 0.750
Pm 0.125 0.875 0.750
Pm 0.750 0.875 0.625
Pm 0.625 0.250 0.375
Pm 0.125 0.250 0.875
Pm 0.250 0.625 0.875

---

Entry 11:
This record from Alexandria via LeMat-Bulk describes a geometry-optimized Pm4PdSe3 structure. The functional is GGA-PBE.

Results
- SG: No. 65
- E_form (uncorrected): -1559 meV per atom

Cell: 4.140 7.331 7.331 Å, 109.06 90.00 90.00°
Sites, in units of the cell vectors:
Se 0.000 0.000 0.500
Se 0.500 0.500 0.500
Se 0.000 0.500 0.000
Pd 0.500 0.000 0.000
Pm 0.000 0.243 0.243
Pm 0.500 0.749 0.251
Pm 0.000 0.757 0.757
Pm 0.500 0.251 0.749

---

Entry 12:
This record from Alexandria via LeMat-Bulk describes a geometry-optimized Pm5PdSe4 structure. The functional is GGA-PBE.

Results
- SG: No. 166
- E_form (uncorrected): -1600 meV per atom

Cell: 4.158 4.158 17.782 Å, 83.29 83.29 60.00°
Sites, in units of the cell vectors:
Pm 0.399 0.399 0.803
Pm 0.000 0.000 0.000
Pm 0.601 0.601 0.197
Pm 0.801 0.801 0.596
Pm 0.199 0.199 0.404
Pd 0.500 0.500 0.500
Se 0.901 0.901 0.296
Se 0.300 0.300 0.099
Se 0.700 0.700 0.901
Se 0.099 0.099 0.704

---

| no. | total magnetic moment (μB/cell) |
| --- | --- |
| 1 | 0.0 |
| 2 | 0.0 |
| 3 | 0.0 |
| 4 | 0.0 |
| 5 | 0.0 |
| 6 | 0.0 |
| 7 | 0.0 |
| 8 | 0.0 |
| 9 | 0.0 |
| 10 | 0.0 |
| 11 | 0.0 |
| 12 | 0.0 |